[1]
A geometry-optimized Fe3HgMo structure. Source: Alexandria, functional GGA-PBE.

Unit cell a=4.5019 b=4.5019 c=4.5019 alpha=90.00 beta=90.00 gamma=90.00
Each line ends with the local moment (μB).
Atoms (fractional coordinates):
Hg: 0.5000 0.5000 0.5000  -0.02
Fe: 0.0000 0.5000 0.0000  1.89
Fe: 0.0000 0.0000 0.5000  2.06
Fe: 0.5000 0.0000 0.0000  1.59
Mo: 0.0000 0.0000 0.0000  -0.55

Calculated values
M_tot	4.93	μB per cell
electronic total energy	-5.89	eV/atom
calculated formation energy	1.42	eV per atom
SG	Pm-3m, No. 221
DOS at the Fermi energy	1.284	states/eV/atom
polymorph energy (0 for the lowest one)	0.00	eV/f.u.



[2]
A geometry-optimized Fe4HgMo structure. Source: Alexandria, functional GGA-PBE.

Unit cell a=4.8304 b=4.8304 c=4.8304 alpha=60.00 beta=60.00 gamma=60.00
Each line ends with the local moment (μB).
Atoms (fractional coordinates):
Fe: 0.1224 0.6259 0.6259  1.92
Fe: 0.6259 0.6259 0.1224  1.92
Fe: 0.6259 0.6259 0.6259  1.92
Hg: 0.2500 0.2500 0.2500  -0.04
Mo: 0.0000 0.0000 0.0000  -0.93
Fe: 0.6259 0.1224 0.6259  1.92

Calculated values
M_tot	6.64	μB per cell
electronic total energy	-7.28	eV/atom
calculated formation energy	0.22	eV per atom
SG	F-43m, No. 216
DOS at the Fermi energy	0.735	states/eV/atom



[3]
A geometry-optimized FeHg2Mo structure. Source: Alexandria, functional GGA-PBE.

Unit cell a=5.0063 b=5.0063 c=5.0063 alpha=130.97 beta=130.97 gamma=71.86
Each line ends with the local moment (μB).
Atoms (fractional coordinates):
Hg: 0.2500 0.7500 0.5000  -0.02
Hg: 0.0000 0.0000 0.0000  0.01
Mo: 0.5000 0.5000 0.0000  -0.52
Fe: 0.7500 0.2500 0.5000  2.64

Calculated values
M_tot	2.04	μB per cell
electronic total energy	-4.27	eV/atom
calculated formation energy	0.70	eV per atom
SG	I-4m2, No. 119
DOS at the Fermi energy	1.077	states/eV/atom
polymorph energy (0 for the lowest one)	1.34	eV/f.u.



[4]
A geometry-optimized FeHg2Mo structure. Source: Alexandria, functional GGA-PBE.

Unit cell a=5.4899 b=5.4899 c=5.4899 alpha=146.18 beta=129.42 gamma=62.24
Each line ends with the local moment (μB).
Atoms (fractional coordinates):
Hg: 0.5158 0.5158 0.0000  -0.02
Fe: 0.7500 0.2500 0.5000  2.63
Mo: 0.2500 0.7500 0.5000  -0.39
Hg: 0.9842 0.9842 0.0000  -0.02

Calculated values
M_tot	2.16	μB per cell
electronic total energy	-4.27	eV/atom
calculated formation energy	0.70	eV per atom
SG	Immm, No. 71
DOS at the Fermi energy	0.971	states/eV/atom
polymorph energy (0 for the lowest one)	1.35	eV/f.u.



[5]
A geometry-optimized Fe3HgMo structure. Source: Alexandria, functional GGA-PBE.

Unit cell a=4.7037 b=4.7037 c=4.7037 alpha=90.00 beta=90.00 gamma=90.00
Each line ends with the local moment (μB).
Atoms (fractional coordinates):
Hg: 0.0000 0.0000 0.0000  -0.03
Fe: 0.0000 0.0000 0.5000  3.19
Fe: 0.5000 0.0000 0.0000  2.74
Fe: 0.0000 0.5000 0.0000  3.10
Mo: 0.5000 0.5000 0.5000  1.27

Calculated values
M_tot	10.55	μB per cell
electronic total energy	-5.19	eV/atom
calculated formation energy	2.11	eV per atom
SG	Pm-3m, No. 221
DOS at the Fermi energy	1.711	states/eV/atom
polymorph energy (0 for the lowest one)	3.49	eV/f.u.



[6]
A geometry-optimized FeHgMo2 structure. Source: Alexandria, functional GGA-PBE.

Unit cell a=4.8631 b=4.8631 c=5.1587 alpha=83.58 beta=83.58 gamma=32.21
Each line ends with the local moment (μB).
Atoms (fractional coordinates):
Mo: 0.7574 0.7574 0.7521  0.00
Fe: 0.4980 0.4980 0.5031  2.57
Hg: 0.2462 0.2462 0.2628  -0.01
Mo: 0.9985 0.9985 0.9820  -0.03

Calculated values
M_tot	2.50	μB per cell
electronic total energy	-7.09	eV/atom
calculated formation energy	0.51	eV per atom
SG	Cm, No. 8
DOS at the Fermi energy	0.796	states/eV/atom